Nb2Zn2P, relaxed, DFT PBE-GGA; D(E_F) = 4.65 states/eV/cell; DFT formation energy = -22 kJ/mol of atoms; ρ = 6626 kg/m3
1.0
6.430 0.000 0.000
0.000 6.430 0.000
0.000 0.000 4.215
Nb Zn P
4 4 2
Direct
0.160 0.340 0.000
0.340 0.840 0.000
0.660 0.160 0.000
0.840 0.660 0.000
0.144 0.644 0.500
0.356 0.144 0.500
0.644 0.856 0.500
0.856 0.356 0.500
0.000 0.000 0.000
0.500 0.500 0.000